A geometry-optimized ErPaRu4 structure, computed with GGA-PBE.

a = 5.323 Å, b = 5.323 Å, c = 5.323 Å
α = 60.00°, β = 60.00°, γ = 60.00°
Positions (direct):
Er 0.000 0.000 0.000
Pa 0.750 0.750 0.750
Ru 0.375 0.375 0.375
Ru 0.375 0.375 0.876
Ru 0.375 0.876 0.375
Ru 0.876 0.375 0.375

Density of states at the Fermi level   8.7 states/eV/cell
E above lowest polymorph   0.000 eV per atom
Calculated formation energy   -29.7 kJ per mole of atoms

A geometry-optimized ErPaRu4 structure, computed with GGA-PBE.

a = 4.282 Å, b = 4.282 Å, c = 6.640 Å
α = 90.00°, β = 90.00°, γ = 90.00°
Positions (direct):
Er 0.000 0.000 0.000
Pa 0.500 0.500 0.500
Ru 0.000 0.500 0.283
Ru 0.000 0.500 0.717
Ru 0.500 0.000 0.283
Ru 0.500 0.000 0.717

Density of states at the Fermi level   8.7 states/eV/cell
E above lowest polymorph   0.614 eV per atom
Calculated formation energy   29.6 kJ per mole of atoms

A geometry-optimized Er3PaRu3 structure, computed with GGA-PBE.

a = 6.951 Å, b = 6.951 Å, c = 6.564 Å
α = 93.67°, β = 93.67°, γ = 84.16°
Positions (direct):
Er 0.186 0.814 0.000
Er 0.291 0.709 0.500
Er 0.315 0.315 0.950
Er 0.685 0.685 0.050
Er 0.709 0.291 0.500
Er 0.814 0.186 0.000
Pa 0.211 0.211 0.407
Pa 0.789 0.789 0.593
Ru 0.013 0.492 0.260
Ru 0.070 0.070 0.695
Ru 0.492 0.013 0.260
Ru 0.508 0.987 0.740
Ru 0.930 0.930 0.305
Ru 0.987 0.508 0.740

Density of states at the Fermi level   9.6 states/eV/cell
E above lowest polymorph   0.075 eV per atom
Calculated formation energy   -41.0 kJ per mole of atoms

A geometry-optimized ErPaRu structure, computed with GGA-PBE.

a = 6.704 Å, b = 6.704 Å, c = 6.704 Å
α = 90.00°, β = 90.00°, γ = 90.00°
Positions (direct):
Er 0.000 0.000 0.000
Er 0.000 0.500 0.500
Er 0.500 0.000 0.500
Er 0.500 0.500 0.000
Pa 0.000 0.000 0.500
Pa 0.000 0.500 0.000
Pa 0.500 0.000 0.000
Pa 0.500 0.500 0.500
Ru 0.250 0.250 0.250
Ru 0.250 0.750 0.750
Ru 0.750 0.250 0.750
Ru 0.750 0.750 0.250

Density of states at the Fermi level   27.0 states/eV/cell
E above lowest polymorph   0.267 eV per atom
Calculated formation energy   -5.1 kJ per mole of atoms

A geometry-optimized Er2PaRu structure, computed with GGA-PBE.

a = 3.343 Å, b = 3.343 Å, c = 8.487 Å
α = 90.00°, β = 90.00°, γ = 90.00°
Positions (direct):
Er 0.000 0.000 0.195
Er 0.000 0.000 0.805
Pa 0.500 0.500 0.500
Ru 0.500 0.500 0.000

Density of states at the Fermi level   7.0 states/eV/cell
E above lowest polymorph   0.000 eV per atom
Calculated formation energy   -8.7 kJ per mole of atoms

A geometry-optimized ErPaRu structure, computed with GGA-PBE.

a = 3.505 Å, b = 3.505 Å, c = 10.947 Å
α = 90.00°, β = 90.00°, γ = 90.00°
Positions (direct):
Er 0.000 0.000 0.000
Er 0.500 0.500 0.500
Pa 0.000 0.000 0.299
Pa 0.500 0.500 0.799
Ru 0.000 0.000 0.688
Ru 0.500 0.500 0.188

Density of states at the Fermi level   5.8 states/eV/cell
E above lowest polymorph   0.000 eV per atom
Calculated formation energy   -30.9 kJ per mole of atoms

A geometry-optimized ErPa2Ru structure, computed with GGA-PBE.

a = 3.583 Å, b = 3.583 Å, c = 7.534 Å
α = 90.00°, β = 90.00°, γ = 90.00°
Positions (direct):
Er 0.000 0.000 0.000
Pa 0.500 0.500 0.308
Pa 0.500 0.500 0.692
Ru 0.000 0.000 0.500

Density of states at the Fermi level   6.8 states/eV/cell
E above lowest polymorph   0.000 eV per atom
Calculated formation energy   -5.8 kJ per mole of atoms

A geometry-optimized ErPaRu structure, computed with GGA-PBE.

a = 5.213 Å, b = 4.118 Å, c = 7.286 Å
α = 90.00°, β = 93.97°, γ = 90.00°
Positions (direct):
Er 0.246 0.250 0.416
Er 0.754 0.750 0.584
Pa 0.244 0.250 0.897
Pa 0.756 0.750 0.103
Ru 0.264 0.750 0.158
Ru 0.736 0.250 0.842

Density of states at the Fermi level   7.6 states/eV/cell
E above lowest polymorph   0.056 eV per atom
Calculated formation energy   -25.5 kJ per mole of atoms

A geometry-optimized Er5PaRu6 structure, computed with GGA-PBE.

a = 7.503 Å, b = 7.503 Å, c = 6.778 Å
α = 90.00°, β = 90.00°, γ = 142.53°
Positions (direct):
Er 0.000 0.000 0.000
Er 0.329 0.671 0.500
Er 0.333 0.667 0.000
Er 0.667 0.333 0.000
Er 0.671 0.329 0.500
Pa 0.000 0.000 0.500
Ru 0.158 0.842 0.261
Ru 0.158 0.842 0.739
Ru 0.500 0.500 0.263
Ru 0.500 0.500 0.737
Ru 0.842 0.158 0.261
Ru 0.842 0.158 0.739

Density of states at the Fermi level   6.9 states/eV/cell
Calculated formation energy   -49.7 kJ per mole of atoms

A geometry-optimized ErPaRu3 structure, computed with GGA-PBE.

a = 6.488 Å, b = 6.488 Å, c = 6.488 Å
α = 126.67°, β = 109.29°, γ = 94.15°
Positions (direct):
Er 0.260 0.010 0.250
Er 0.740 0.990 0.750
Pa 0.000 0.500 0.500
Pa 0.500 0.500 0.000
Ru 0.052 0.302 0.750
Ru 0.313 0.000 0.813
Ru 0.313 0.500 0.313
Ru 0.687 0.000 0.187
Ru 0.687 0.500 0.687
Ru 0.948 0.698 0.250

Density of states at the Fermi level   9.7 states/eV/cell
Calculated formation energy   -31.2 kJ per mole of atoms

A geometry-optimized ErPaRu structure, computed with GGA-PBE.

a = 4.769 Å, b = 4.769 Å, c = 3.243 Å
α = 90.00°, β = 90.00°, γ = 120.00°
Positions (direct):
Er 0.000 0.000 0.000
Pa 0.667 0.333 0.384
Ru 0.333 0.667 0.647

Density of states at the Fermi level   3.6 states/eV/cell
E above lowest polymorph   0.254 eV per atom
Calculated formation energy   -6.3 kJ per mole of atoms

A geometry-optimized ErPaRu4 structure, computed with GGA-PBE.

a = 9.979 Å, b = 3.830 Å, c = 6.502 Å
α = 90.00°, β = 119.04°, γ = 90.00°
Positions (direct):
Er 0.000 0.000 0.000
Er 0.500 0.500 0.000
Pa 0.000 0.000 0.500
Pa 0.500 0.500 0.500
Ru 0.172 0.500 0.859
Ru 0.219 0.500 0.338
Ru 0.281 0.000 0.662
Ru 0.328 0.000 0.141
Ru 0.672 0.000 0.859
Ru 0.719 0.000 0.338
Ru 0.781 0.500 0.662
Ru 0.828 0.500 0.141

Density of states at the Fermi level   12.2 states/eV/cell
E above lowest polymorph   0.180 eV per atom
Calculated formation energy   -12.3 kJ per mole of atoms

A geometry-optimized Er3PaRu3 structure, computed with GGA-PBE.

a = 5.778 Å, b = 5.778 Å, c = 5.778 Å
α = 108.85°, β = 108.85°, γ = 108.85°
Positions (direct):
Er 0.200 0.200 0.601
Er 0.200 0.601 0.200
Er 0.601 0.200 0.200
Pa 0.806 0.806 0.806
Ru 0.161 0.698 0.698
Ru 0.698 0.161 0.698
Ru 0.698 0.698 0.161

Density of states at the Fermi level   2.7 states/eV/cell
E above lowest polymorph   0.000 eV per atom
Calculated formation energy   -48.2 kJ per mole of atoms

A geometry-optimized Er2PaRu structure, computed with GGA-PBE.

a = 3.247 Å, b = 3.247 Å, c = 31.762 Å
α = 90.00°, β = 90.00°, γ = 120.00°
Positions (direct):
Er 0.000 0.000 0.102
Er 0.000 0.000 0.898
Er 0.333 0.667 0.565
Er 0.333 0.667 0.769
Er 0.667 0.333 0.231
Er 0.667 0.333 0.435
Pa 0.000 0.000 0.000
Pa 0.333 0.667 0.667
Pa 0.667 0.333 0.333
Ru 0.000 0.000 0.500
Ru 0.333 0.667 0.167
Ru 0.667 0.333 0.833

Density of states at the Fermi level   15.7 states/eV/cell
E above lowest polymorph   0.255 eV per atom
Calculated formation energy   15.9 kJ per mole of atoms

A geometry-optimized ErPa2Ru structure, computed with GGA-PBE.

a = 4.806 Å, b = 4.806 Å, c = 13.821 Å
α = 90.00°, β = 90.00°, γ = 120.00°
Positions (direct):
Er 0.000 0.000 0.000
Er 0.333 0.667 0.667
Er 0.667 0.333 0.333
Pa 0.000 0.000 0.242
Pa 0.000 0.000 0.758
Pa 0.333 0.667 0.425
Pa 0.333 0.667 0.909
Pa 0.667 0.333 0.091
Pa 0.667 0.333 0.575
Ru 0.000 0.000 0.500
Ru 0.333 0.667 0.167
Ru 0.667 0.333 0.833

Density of states at the Fermi level   25.3 states/eV/cell
E above lowest polymorph   0.259 eV per atom
Calculated formation energy   19.2 kJ per mole of atoms

A geometry-optimized ErSc2PaRu4 structure, computed with GGA-PBE.

a = 7.978 Å, b = 7.978 Å, c = 7.978 Å
α = 34.49°, β = 34.49°, γ = 34.49°
Positions (direct):
Er 0.000 0.000 0.000
Sc 0.253 0.253 0.253
Sc 0.747 0.747 0.747
Pa 0.500 0.500 0.500
Ru 0.128 0.128 0.128
Ru 0.382 0.382 0.382
Ru 0.618 0.618 0.618
Ru 0.872 0.872 0.872

Density of states at the Fermi level   3.2 states/eV/cell
Calculated formation energy   -60.8 kJ per mole of atoms

A geometry-optimized Tb2ErPa2Ru5 structure, computed with GGA-PBE.

a = 10.624 Å, b = 10.624 Å, c = 3.666 Å
α = 90.00°, β = 90.00°, γ = 90.00°
Positions (direct):
Tb 0.172 0.328 0.000
Tb 0.328 0.828 0.000
Tb 0.672 0.172 0.000
Tb 0.828 0.672 0.000
Er 0.000 0.000 0.000
Er 0.500 0.500 0.000
Pa 0.135 0.635 0.000
Pa 0.365 0.135 0.000
Pa 0.635 0.865 0.000
Pa 0.865 0.365 0.000
Ru 0.000 0.500 0.500
Ru 0.054 0.792 0.500
Ru 0.208 0.054 0.500
Ru 0.292 0.554 0.500
Ru 0.446 0.292 0.500
Ru 0.500 0.000 0.500
Ru 0.554 0.708 0.500
Ru 0.708 0.446 0.500
Ru 0.792 0.946 0.500
Ru 0.946 0.208 0.500

Density of states at the Fermi level   13.1 states/eV/cell
Calculated formation energy   -30.9 kJ per mole of atoms

A geometry-optimized TbEr2PaRu2 structure, computed with GGA-PBE.

a = 8.316 Å, b = 8.316 Å, c = 8.316 Å
α = 131.10°, β = 70.50°, γ = 132.56°
Positions (direct):
Tb 0.250 0.250 0.000
Tb 0.750 0.750 0.000
Er 0.198 0.686 0.885
Er 0.302 0.186 0.488
Er 0.698 0.814 0.512
Er 0.802 0.314 0.115
Pa 0.250 0.750 0.500
Pa 0.750 0.250 0.500
Ru 0.104 0.297 0.400
Ru 0.396 0.797 0.193
Ru 0.604 0.203 0.807
Ru 0.896 0.703 0.600

Density of states at the Fermi level   10.3 states/eV/cell
Calculated formation energy   -27.6 kJ per mole of atoms

A geometry-optimized ErPaTcRu structure, computed with GGA-PBE.

a = 3.425 Å, b = 3.425 Å, c = 6.853 Å
α = 90.00°, β = 90.00°, γ = 90.00°
Positions (direct):
Er 0.000 0.000 0.000
Pa 0.000 0.000 0.500
Tc 0.500 0.500 0.281
Ru 0.500 0.500 0.723

Density of states at the Fermi level   2.1 states/eV/cell
E above lowest polymorph   0.000 eV per atom
Calculated formation energy   -38.5 kJ per mole of atoms

A geometry-optimized ErPaTcRu structure, computed with GGA-PBE.

a = 6.828 Å, b = 6.828 Å, c = 6.828 Å
α = 90.00°, β = 90.00°, γ = 90.00°
Positions (direct):
Er 0.000 0.000 0.000
Er 0.000 0.500 0.500
Er 0.500 0.000 0.500
Er 0.500 0.500 0.000
Pa 0.000 0.000 0.500
Pa 0.000 0.500 0.000
Pa 0.500 0.000 0.000
Pa 0.500 0.500 0.500
Tc 0.250 0.250 0.250
Tc 0.250 0.750 0.750
Tc 0.750 0.250 0.750
Tc 0.750 0.750 0.250
Ru 0.250 0.250 0.750
Ru 0.250 0.750 0.250
Ru 0.750 0.250 0.250
Ru 0.750 0.750 0.750

Density of states at the Fermi level   14.0 states/eV/cell
E above lowest polymorph   0.071 eV per atom
Calculated formation energy   -31.7 kJ per mole of atoms